First-principles (SCAN) data for a PBEsol-optimized structure of BeFeW2, as listed in Alexandria via LeMat-Bulk.

Summary:
* crystal system: orthorhombic
* symmetry: Pmmm
* calculated formation energy: 0.1819 eV/atom

Structure (extended XYZ):
```
4
Lattice="3.378 0.000 0.000 0.000 3.734 0.000 0.000 0.000 4.035" Properties=species:S:1:pos:R:3 pbc="T T T"
Be 0.000 0.000 0.000
Fe 1.689 0.000 2.018
W 0.000 1.867 2.018
W 1.689 1.867 0.000
```


First-principles (SCAN) data for a PBEsol-optimized structure of LaRhPb2, as listed in Alexandria via LeMat-Bulk.

Summary:
* crystal system: trigonal
* symmetry: R3m
* calculated formation energy: -0.2789 eV/atom

Structure (extended XYZ):
```
12
Lattice="3.884 0.000 0.000 -1.942 3.364 0.000 0.000 0.000 25.192" Properties=species:S:1:pos:R:3 pbc="T T T"
La 0.000 0.000 0.000
La 0.000 2.243 16.795
La 1.942 1.121 8.397
Rh 0.000 0.000 6.868
Rh 0.000 2.243 23.662
Rh 1.942 1.121 15.265
Pb 0.000 0.000 13.573
Pb 0.000 0.000 19.502
Pb 0.000 2.243 5.176
Pb 0.000 2.243 11.105
Pb 1.942 1.121 2.708
Pb 1.942 1.121 21.971
```


First-principles (SCAN) data for a PBEsol-optimized structure of ZnNiIr2, as listed in Alexandria via LeMat-Bulk.

Summary:
* crystal system: tetragonal
* symmetry: P4/mmm
* calculated formation energy: -0.0165 eV/atom

Structure (extended XYZ):
```
4
Lattice="4.150 0.000 0.000 0.000 4.150 0.000 0.000 0.000 2.969" Properties=species:S:1:pos:R:3 pbc="T T T"
Zn 0.000 0.000 0.000
Ni 2.075 2.075 0.000
Ir 0.000 2.075 1.485
Ir 2.075 0.000 1.485
```


First-principles (SCAN) data for a PBEsol-optimized structure of BaBeTl2, as listed in Alexandria via LeMat-Bulk.

Summary:
* crystal system: orthorhombic
* symmetry: Amm2
* calculated formation energy: -0.0117 eV/atom

Structure (extended XYZ):
```
8
Lattice="4.485 0.000 0.000 0.000 4.242 0.000 0.000 0.000 12.256" Properties=species:S:1:pos:R:3 pbc="T T T"
Ba 0.000 0.000 0.000
Ba 0.000 2.121 6.128
Be 2.242 0.000 4.173
Be 2.242 2.121 10.301
Tl 0.000 0.000 3.450
Tl 0.000 2.121 9.578
Tl 2.242 0.000 8.399
Tl 2.242 2.121 2.271
```


First-principles (SCAN) data for a PBEsol-optimized structure of Be3GaAu, as listed in Alexandria via LeMat-Bulk.

Summary:
* distance to the lowest polymorph of the same formula: 7.31 kcal/mol of atoms
* crystal system: cubic
* symmetry: Pm-3m
* calculated formation energy: 0.7202 eV/atom

Structure (extended XYZ):
```
5
Lattice="4.159 0.000 0.000 0.000 4.159 0.000 0.000 0.000 4.159" Properties=species:S:1:pos:R:3 pbc="T T T"
Be 0.000 0.000 2.080
Be 0.000 2.080 0.000
Be 2.080 0.000 0.000
Ga 0.000 0.000 0.000
Au 2.080 2.080 2.080
```


First-principles (SCAN) data for a PBEsol-optimized structure of LaIn2As, as listed in Alexandria via LeMat-Bulk.

Summary:
* crystal system: monoclinic
* symmetry: Pm
* calculated formation energy: -0.6926 eV/atom

Structure (extended XYZ):
```
4
Lattice="4.547 0.000 0.000 0.000 4.001 0.000 -2.258 0.000 5.760" Properties=species:S:1:pos:R:3 pbc="T T T"
La 0.000 0.000 0.000
In -0.004 2.000 3.167
In 2.270 0.000 2.474
As 2.276 2.000 0.164
```